[1]
Material: Zn3PC
Method: DFT, GGA-PBE
State: relaxed

Values from the calculation:
Calculated total energy ... -3.0817 eV per atom
Distance to the lowest polymorph of the same formula ... 0.0 kJ/mol of atoms
Total moment ... 0.00 μB/f.u.

abc: 4.1458 4.1458 4.1458
angles: 90.00 90.00 90.00
Closest atoms and distances in Å follow each position.
Space group Pm-3m (No. 221)
Unique sites:
1 Zn 0.0000 0.0000 0.5000  2 C 2.07
2 P 0.5000 0.5000 0.5000  12 Zn 2.93
3 C 0.0000 0.0000 0.0000  6 Zn 2.07

=====

[2]
Material: ZnPC3
Method: DFT, GGA-PBE
State: relaxed

Values from the calculation:
Calculated total energy ... -3.7393 eV per atom
Distance to the lowest polymorph of the same formula ... 107.3 kJ/mol of atoms
Total moment ... 0.00 μB/f.u.

abc: 3.9540 3.9540 3.9540
angles: 90.00 90.00 90.00
Closest atoms and distances in Å follow each position.
Space group Pm-3m (No. 221)
Unique sites:
1 Zn 0.0000 0.0000 0.0000  6 C 1.98
2 P 0.5000 0.5000 0.5000  12 C 2.80
3 C 0.0000 0.0000 0.5000  2 Zn 1.98

=====

[3]
Material: ZnP3C
Method: DFT, GGA-PBE
State: relaxed

Values from the calculation:
Calculated total energy ... -4.2150 eV per atom
Distance to the lowest polymorph of the same formula ... 0.0 kJ/mol of atoms
Total moment ... 0.00 μB/f.u.

abc: 4.0913 4.0913 4.0913
angles: 90.00 90.00 90.00
Closest atoms and distances in Å follow each position.
Space group Pm-3m (No. 221)
Unique sites:
1 Zn 0.0000 0.0000 0.0000  12 P 2.89
2 P 0.0000 0.5000 0.5000  2 C 2.05
3 C 0.5000 0.5000 0.5000  6 P 2.05

=====

[4]
Material: ZnPC3
Method: DFT, GGA-PBE
State: relaxed

Values from the calculation:
Calculated total energy ... -4.8515 eV per atom
Distance to the lowest polymorph of the same formula ... 0.0 kJ/mol of atoms
Total moment ... 0.00 μB/f.u.

abc: 3.6650 3.6650 3.6650
angles: 90.00 90.00 90.00
Closest atoms and distances in Å follow each position.
Space group Pm-3m (No. 221)
Unique sites:
1 Zn 0.0000 0.0000 0.0000  12 C 2.59
2 P 0.5000 0.5000 0.5000  6 C 1.83
3 C 0.0000 0.5000 0.5000  2 P 1.83

=====

[5]
Material: Zn2PC
Method: DFT, GGA-PBE
State: relaxed

Values from the calculation:
Calculated total energy ... -3.4563 eV per atom
Distance to the lowest polymorph of the same formula ... 0.0 kJ/mol of atoms
Total moment ... 0.00 μB/f.u.

abc: 4.3470 4.3470 12.6789
angles: 90.00 90.00 90.00
Closest atoms and distances in Å follow each position.
Space group I-42d (No. 122)
Unique sites:
1 Zn 0.1774 0.2500 0.1250  2 C 2.07
2 P 0.0000 0.0000 0.5000  4 Zn 2.38
3 C 0.0000 0.0000 0.0000  4 Zn 2.07

=====

[6]
Material: ZnP3C
Method: DFT, GGA-PBE
State: relaxed

Values from the calculation:
Calculated total energy ... -3.0726 eV per atom
Distance to the lowest polymorph of the same formula ... 110.2 kJ/mol of atoms
Total moment ... 0.00 μB/f.u.

abc: 4.5538 4.5538 4.5538
angles: 90.00 90.00 90.00
Closest atoms and distances in Å follow each position.
Space group Pm-3m (No. 221)
Unique sites:
1 Zn 0.0000 0.0000 0.0000  6 P 2.28
2 P 0.0000 0.0000 0.5000  2 Zn 2.28
3 C 0.5000 0.5000 0.5000  12 P 3.22

=====

[7]
Material: ZnPC2
Method: DFT, GGA-PBE
State: relaxed

Values from the calculation:
Calculated total energy ... -4.0895 eV per atom
Total moment ... 0.00 μB/f.u.

abc: 5.4548 5.4548 5.4548
angles: 90.00 90.00 90.00
Closest atoms and distances in Å follow each position.
Space group Fm-3m (No. 225)
Unique sites:
1 Zn 0.0000 0.0000 0.0000  8 C 2.36
2 P 0.0000 0.0000 0.5000  8 C 2.36
3 C 0.2500 0.2500 0.2500  4 Zn 2.36, 4 P 2.36

=====

[8]
Material: Zn3PC
Method: DFT, GGA-PBE
State: relaxed

Values from the calculation:
Calculated total energy ... -2.2081 eV per atom
Distance to the lowest polymorph of the same formula ... 84.3 kJ/mol of atoms
Total moment ... 1.64 μB/f.u.

abc: 4.6235 4.6235 4.6235
angles: 90.00 90.00 90.00
Closest atoms and distances in Å follow each position.
Space group Pm-3m (No. 221)
Unique sites:
1 Zn 0.0000 0.0000 0.5000  2 P 2.31
2 P 0.0000 0.0000 0.0000  6 Zn 2.31
3 C 0.5000 0.5000 0.5000  12 Zn 3.27

=====

[9]
Material: Zn2PC
Method: DFT, GGA-PBE
State: relaxed

Values from the calculation:
Calculated total energy ... -2.9970 eV per atom
Distance to the lowest polymorph of the same formula ... 44.3 kJ/mol of atoms
Total moment ... 0.00 μB/f.u.

abc: 5.9714 5.9714 5.9714
angles: 90.00 90.00 90.00
Closest atoms and distances in Å follow each position.
Space group Fm-3m (No. 225)
Unique sites:
1 Zn 0.2500 0.2500 0.2500  4 C 2.59, 4 P 2.59
2 P 0.0000 0.0000 0.0000  8 Zn 2.59
3 C 0.0000 0.0000 0.5000  8 Zn 2.59

=====

[10]
Material: ZrP3C
Method: DFT, GGA-PBE
State: relaxed

Values from the calculation:
Calculated total energy ... -6.2831 eV per atom
Distance to the lowest polymorph of the same formula ... 0.0 kJ/mol of atoms
Total moment ... 0.00 μB/f.u.

abc: 4.1242 4.1242 4.1242
angles: 90.00 90.00 90.00
Closest atoms and distances in Å follow each position.
Space group Pm-3m (No. 221)
Unique sites:
1 Zr 0.0000 0.0000 0.0000  12 P 2.92
2 P 0.0000 0.5000 0.5000  2 C 2.06
3 C 0.5000 0.5000 0.5000  6 P 2.06

=====

[11]
Material: Zr4P2C
Method: DFT, GGA-PBE
State: relaxed

Values from the calculation:
Calculated total energy ... -8.6821 eV per atom
Total moment ... 0.00 μB/f.u.

abc: 12.8844 3.5544 6.3133
angles: 90.00 117.83 90.00
Closest atoms and distances in Å follow each position.
Space group C2/m (No. 12)
Unique sites:
1 Zr 0.1122 0.0000 0.4195  1 C 2.35, 3 P 2.56-2.60
2 Zr 0.1186 0.5000 0.9772  2 C 2.39, 3 P 2.58-2.64
3 P 0.2314 0.5000 0.7307  6 Zr 2.56-2.64
4 C 0.0000 0.0000 0.0000  6 Zr 2.35-2.39

=====

[12]
Material: Zr2PC2
Method: DFT, GGA-PBE
State: relaxed

Values from the calculation:
Calculated total energy ... -8.3511 eV per atom
Distance to the lowest polymorph of the same formula ... 0.0 kJ/mol of atoms
Total moment ... 0.00 μB/f.u.

abc: 4.3935 4.3935 7.2135
angles: 90.00 90.00 90.00
Closest atoms and distances in Å follow each position.
Space group I4/mmm (No. 139)
Unique sites:
1 Zr 0.0000 0.5000 0.2500  4 C 2.47
2 P 0.0000 0.0000 0.0000  8 Zr 2.84, 10 C 2.92-3.18
3 C 0.0000 0.0000 0.4054  1 C 1.36